# Pm2YHoP4 PBE optimized geometry
data_Pm2YHoP4
_chemical_formula_sum 'Pm2 Y1 Ho1 P4'
_cell_length_a 7.040
_cell_length_b 4.069
_cell_length_c 7.044
_cell_angle_alpha 90.00
_cell_angle_beta 109.47
_cell_angle_gamma 90.00
_symmetry_space_group_name_H-M 'P 1'
_symmetry_Int_Tables_number 1
_symmetry_space_group_name_Hall 'P 1'
loop_
_atom_site_label
_atom_site_type_symbol
_atom_site_fract_x
_atom_site_fract_y
_atom_site_fract_z
_atom_site_occupancy
Pm1 Pm 0.000 0.000 0.000 1
Pm2 Pm 0.000 0.500 0.500 1
Y1 Y 0.500 0.000 0.500 1
Ho1 Ho 0.500 0.500 0.000 1
P1 P 0.258 0.000 0.754 1
P2 P 0.258 0.500 0.252 1
P3 P 0.742 0.000 0.246 1
P4 P 0.742 0.500 0.748 1
# - volume (Å³/f.u.) = 190.2
# - total magnetization (μB per formula unit) = 0.00
# - E_tot (eV per atom) = -6.8610
# - ρ (g/cm³) = 5.829
# - energy of formation (eV/atom) = -1.59

***

# KCa2Re PBE optimized geometry
data_KCa2Re
_chemical_formula_sum 'K1 Ca2 Re1'
_cell_length_a 3.503
_cell_length_b 3.503
_cell_length_c 11.051
_cell_angle_alpha 90.00
_cell_angle_beta 90.00
_cell_angle_gamma 90.00
_symmetry_space_group_name_H-M 'P 1'
_symmetry_Int_Tables_number 1
_symmetry_space_group_name_Hall 'P 1'
loop_
_atom_site_label
_atom_site_type_symbol
_atom_site_fract_x
_atom_site_fract_y
_atom_site_fract_z
_atom_site_occupancy
K1 K 0.000 0.000 0.000 1
Ca1 Ca 0.500 0.500 0.338 1
Ca2 Ca 0.500 0.500 0.662 1
Re1 Re 0.000 0.000 0.500 1
# - volume (Å³/f.u.) = 135.6
# - total magnetization (μB per formula unit) = 1.66
# - E_tot (eV per atom) = -3.6959
# - ρ (g/cm³) = 3.741
# - ΔE to the lowest computed polymorph (meV per atom) = 0.0
# - energy of formation (eV/atom) = 0.69

***

# OsCl PBE optimized geometry
data_OsCl
_chemical_formula_sum 'Os6 Cl6'
_cell_length_a 6.561
_cell_length_b 6.561
_cell_length_c 6.561
_cell_angle_alpha 90.00
_cell_angle_beta 90.00
_cell_angle_gamma 90.00
_symmetry_space_group_name_H-M 'P 1'
_symmetry_Int_Tables_number 1
_symmetry_space_group_name_Hall 'P 1'
loop_
_atom_site_label
_atom_site_type_symbol
_atom_site_fract_x
_atom_site_fract_y
_atom_site_fract_z
_atom_site_occupancy
Os1 Os 0.000 0.250 0.500 1
Os2 Os 0.000 0.750 0.500 1
Os3 Os 0.250 0.500 0.000 1
Os4 Os 0.500 0.000 0.250 1
Os5 Os 0.500 0.000 0.750 1
Os6 Os 0.750 0.500 0.000 1
Cl1 Cl 0.000 0.500 0.250 1
Cl2 Cl 0.000 0.500 0.750 1
Cl3 Cl 0.250 0.000 0.500 1
Cl4 Cl 0.500 0.250 0.000 1
Cl5 Cl 0.500 0.750 0.000 1
Cl6 Cl 0.750 0.000 0.500 1
# - volume (Å³/f.u.) = 47.1
# - raw formation energy (meV/atom) = 2002.7
# - total magnetization (μB per formula unit) = 0.00
# - E_tot (eV per atom) = -4.5355
# - ρ (g/cm³) = 7.961
# - ΔE to the lowest computed polymorph (meV per atom) = 1878.7

***

# Ba2InHg2 PBE optimized geometry
data_Ba2InHg2
_chemical_formula_sum 'Ba4 In2 Hg4'
_cell_length_a 11.178
_cell_length_b 6.995
_cell_length_c 5.075
_cell_angle_alpha 90.00
_cell_angle_beta 116.82
_cell_angle_gamma 90.00
_symmetry_space_group_name_H-M 'P 1'
_symmetry_Int_Tables_number 1
_symmetry_space_group_name_Hall 'P 1'
loop_
_atom_site_label
_atom_site_type_symbol
_atom_site_fract_x
_atom_site_fract_y
_atom_site_fract_z
_atom_site_occupancy
Ba1 Ba 0.202 0.000 0.202 1
Ba2 Ba 0.298 0.500 0.798 1
Ba3 Ba 0.702 0.500 0.202 1
Ba4 Ba 0.798 0.000 0.798 1
In1 In 0.000 0.500 0.000 1
In2 In 0.500 0.000 0.000 1
Hg1 Hg 0.000 0.229 0.500 1
Hg2 Hg 0.000 0.771 0.500 1
Hg3 Hg 0.500 0.271 0.500 1
Hg4 Hg 0.500 0.729 0.500 1
# - volume (Å³/f.u.) = 177.1
# - total magnetization (μB per formula unit) = 0.00
# - E_tot (eV per atom) = -1.8990
# - ρ (g/cm³) = 7.415
# - ΔE to the lowest computed polymorph (meV per atom) = 1.5
# - energy of formation (eV/atom) = -0.46

***

# MgAgAs2Se PBE optimized geometry
data_MgAgAs2Se
_chemical_formula_sum 'Mg1 Ag1 As2 Se1'
_cell_length_a 4.980
_cell_length_b 4.980
_cell_length_c 5.055
_cell_angle_alpha 90.00
_cell_angle_beta 90.00
_cell_angle_gamma 90.00
_symmetry_space_group_name_H-M 'P 1'
_symmetry_Int_Tables_number 1
_symmetry_space_group_name_Hall 'P 1'
loop_
_atom_site_label
_atom_site_type_symbol
_atom_site_fract_x
_atom_site_fract_y
_atom_site_fract_z
_atom_site_occupancy
Mg1 Mg 0.000 0.000 0.000 1
Ag1 Ag 0.500 0.500 0.500 1
As1 As 0.000 0.500 0.000 1
As2 As 0.500 0.000 0.000 1
Se1 Se 0.000 0.000 0.500 1
# - volume (Å³/f.u.) = 125.3
# - raw formation energy (meV/atom) = 578.6
# - total magnetization (μB per formula unit) = 0.00
# - E_tot (eV per atom) = -2.8673
# - ρ (g/cm³) = 4.782
# - ΔE to the lowest computed polymorph (meV per atom) = 0.0

***

# RbHo2Cl2F5 PBE optimized geometry
data_RbHo2Cl2F5
_chemical_formula_sum 'Rb2 Ho4 Cl4 F10'
_cell_length_a 9.866
_cell_length_b 9.866
_cell_length_c 3.456
_cell_angle_alpha 90.00
_cell_angle_beta 90.00
_cell_angle_gamma 90.00
_symmetry_space_group_name_H-M 'P 1'
_symmetry_Int_Tables_number 1
_symmetry_space_group_name_Hall 'P 1'
loop_
_atom_site_label
_atom_site_type_symbol
_atom_site_fract_x
_atom_site_fract_y
_atom_site_fract_z
_atom_site_occupancy
Rb1 Rb 0.000 0.000 0.000 1
Rb2 Rb 0.500 0.500 0.000 1
Ho1 Ho 0.128 0.372 0.000 1
Ho2 Ho 0.372 0.872 0.000 1
Ho3 Ho 0.628 0.128 0.000 1
Ho4 Ho 0.872 0.628 0.000 1
Cl1 Cl 0.166 0.666 0.000 1
Cl2 Cl 0.334 0.166 0.000 1
Cl3 Cl 0.666 0.834 0.000 1
Cl4 Cl 0.834 0.334 0.000 1
F1 F 0.000 0.500 0.500 1
F2 F 0.079 0.235 0.500 1
F3 F 0.235 0.921 0.500 1
F4 F 0.265 0.421 0.500 1
F5 F 0.421 0.735 0.500 1
F6 F 0.500 0.000 0.500 1
F7 F 0.579 0.265 0.500 1
F8 F 0.735 0.579 0.500 1
F9 F 0.765 0.079 0.500 1
F10 F 0.921 0.765 0.500 1
# - volume (Å³/f.u.) = 168.2
# - raw formation energy (meV/atom) = -3268.6
# - total magnetization (μB per formula unit) = 0.00
# - E_tot (eV per atom) = -5.5859
# - ρ (g/cm³) = 5.739

***

# TiCrNi2 PBE optimized geometry
data_TiCrNi2
_chemical_formula_sum 'Ti4 Cr4 Ni8'
_cell_length_a 6.558
_cell_length_b 6.558
_cell_length_c 4.920
_cell_angle_alpha 90.00
_cell_angle_beta 90.00
_cell_angle_gamma 90.00
_symmetry_space_group_name_H-M 'P 1'
_symmetry_Int_Tables_number 1
_symmetry_space_group_name_Hall 'P 1'
loop_
_atom_site_label
_atom_site_type_symbol
_atom_site_fract_x
_atom_site_fract_y
_atom_site_fract_z
_atom_site_occupancy
Ti1 Ti 0.000 0.000 0.000 1
Ti2 Ti 0.000 0.500 0.250 1
Ti3 Ti 0.500 0.000 0.750 1
Ti4 Ti 0.500 0.500 0.500 1
Cr1 Cr 0.000 0.000 0.500 1
Cr2 Cr 0.000 0.500 0.750 1
Cr3 Cr 0.500 0.000 0.250 1
Cr4 Cr 0.500 0.500 0.000 1
Ni1 Ni 0.236 0.750 0.625 1
Ni2 Ni 0.250 0.236 0.375 1
Ni3 Ni 0.250 0.264 0.875 1
Ni4 Ni 0.264 0.750 0.125 1
Ni5 Ni 0.736 0.250 0.125 1
Ni6 Ni 0.750 0.736 0.875 1
Ni7 Ni 0.750 0.764 0.375 1
Ni8 Ni 0.764 0.250 0.625 1
# - volume (Å³/f.u.) = 52.9
# - total magnetization (μB per formula unit) = 1.89
# - E_tot (eV per atom) = -7.0372
# - ρ (g/cm³) = 6.820
# - energy of formation (eV/atom) = 0.23

***

# DyPd5Au PBE optimized geometry
data_DyPd5Au
_chemical_formula_sum 'Dy2 Pd10 Au2'
_cell_length_a 5.445
_cell_length_b 5.445
_cell_length_c 10.178
_cell_angle_alpha 98.12
_cell_angle_beta 98.12
_cell_angle_gamma 57.94
_symmetry_space_group_name_H-M 'P 1'
_symmetry_Int_Tables_number 1
_symmetry_space_group_name_Hall 'P 1'
loop_
_atom_site_label
_atom_site_type_symbol
_atom_site_fract_x
_atom_site_fract_y
_atom_site_fract_z
_atom_site_occupancy
Dy1 Dy 0.208 0.792 0.750 1
Dy2 Dy 0.792 0.208 0.250 1
Pd1 Pd 0.113 0.195 0.548 1
Pd2 Pd 0.195 0.113 0.048 1
Pd3 Pd 0.216 0.306 0.817 1
Pd4 Pd 0.285 0.715 0.250 1
Pd5 Pd 0.306 0.216 0.317 1
Pd6 Pd 0.694 0.784 0.683 1
Pd7 Pd 0.715 0.285 0.750 1
Pd8 Pd 0.784 0.694 0.183 1
Pd9 Pd 0.805 0.887 0.952 1
Pd10 Pd 0.887 0.805 0.452 1
Au1 Au 0.500 0.500 0.000 1
Au2 Au 0.500 0.500 0.500 1
# - volume (Å³/f.u.) = 126.2
# - total magnetization (μB per formula unit) = 0.00
# - E_tot (eV per atom) = -5.1597
# - ρ (g/cm³) = 11.732
# - ΔE to the lowest computed polymorph (meV per atom) = 7.4
# - energy of formation (eV/atom) = -0.32

***

# Tb2Pr8Th PBE optimized geometry
data_Tb2Pr8Th
_chemical_formula_sum 'Tb2 Pr8 Th1'
_cell_length_a 8.671
_cell_length_b 8.671
_cell_length_c 5.495
_cell_angle_alpha 90.00
_cell_angle_beta 90.00
_cell_angle_gamma 105.34
_symmetry_space_group_name_H-M 'P 1'
_symmetry_Int_Tables_number 1
_symmetry_space_group_name_Hall 'P 1'
loop_
_atom_site_label
_atom_site_type_symbol
_atom_site_fract_x
_atom_site_fract_y
_atom_site_fract_z
_atom_site_occupancy
Tb1 Tb 0.119 0.881 0.000 1
Tb2 Tb 0.881 0.119 0.000 1
Pr1 Pr 0.169 0.169 0.500 1
Pr2 Pr 0.203 0.465 0.000 1
Pr3 Pr 0.249 0.751 0.500 1
Pr4 Pr 0.465 0.203 0.000 1
Pr5 Pr 0.535 0.797 0.000 1
Pr6 Pr 0.751 0.249 0.500 1
Pr7 Pr 0.797 0.535 0.000 1
Pr8 Pr 0.831 0.831 0.500 1
Th1 Th 0.500 0.500 0.500 1
# - volume (Å³/f.u.) = 398.4
# - total magnetization (μB per formula unit) = 0.00
# - E_tot (eV per atom) = -4.8347
# - ρ (g/cm³) = 6.991
# - energy of formation (eV/atom) = 0.16

***

# Cs2RbPb2 PBE optimized geometry
data_Cs2RbPb2
_chemical_formula_sum 'Cs4 Rb2 Pb4'
_cell_length_a 11.281
_cell_length_b 11.281
_cell_length_c 4.059
_cell_angle_alpha 90.00
_cell_angle_beta 90.00
_cell_angle_gamma 90.00
_symmetry_space_group_name_H-M 'P 1'
_symmetry_Int_Tables_number 1
_symmetry_space_group_name_Hall 'P 1'
loop_
_atom_site_label
_atom_site_type_symbol
_atom_site_fract_x
_atom_site_fract_y
_atom_site_fract_z
_atom_site_occupancy
Cs1 Cs 0.192 0.308 0.000 1
Cs2 Cs 0.308 0.808 0.000 1
Cs3 Cs 0.692 0.192 0.000 1
Cs4 Cs 0.808 0.692 0.000 1
Rb1 Rb 0.000 0.000 0.000 1
Rb2 Rb 0.500 0.500 0.000 1
Pb1 Pb 0.098 0.598 0.500 1
Pb2 Pb 0.402 0.098 0.500 1
Pb3 Pb 0.598 0.902 0.500 1
Pb4 Pb 0.902 0.402 0.500 1
# - volume (Å³/f.u.) = 258.3
# - total magnetization (μB per formula unit) = 0.00
# - E_tot (eV per atom) = -1.9952
# - ρ (g/cm³) = 4.922
# - ΔE to the lowest computed polymorph (meV per atom) = 127.1
# - energy of formation (eV/atom) = 0.02

***

# LiCa4Tl PBE optimized geometry
data_LiCa4Tl
_chemical_formula_sum 'Li1 Ca4 Tl1'
_cell_length_a 3.971
_cell_length_b 3.971
_cell_length_c 13.026
_cell_angle_alpha 90.00
_cell_angle_beta 90.00
_cell_angle_gamma 90.00
_symmetry_space_group_name_H-M 'P 1'
_symmetry_Int_Tables_number 1
_symmetry_space_group_name_Hall 'P 1'
loop_
_atom_site_label
_atom_site_type_symbol
_atom_site_fract_x
_atom_site_fract_y
_atom_site_fract_z
_atom_site_occupancy
Li1 Li 0.000 0.000 0.000 1
Ca1 Ca 0.000 0.000 0.359 1
Ca2 Ca 0.000 0.000 0.641 1
Ca3 Ca 0.500 0.500 0.149 1
Ca4 Ca 0.500 0.500 0.851 1
Tl1 Tl 0.500 0.500 0.500 1
# - volume (Å³/f.u.) = 205.4
# - total magnetization (μB per formula unit) = 0.00
# - E_tot (eV per atom) = -2.1936
# - ρ (g/cm³) = 3.004
# - ΔE to the lowest computed polymorph (meV per atom) = 0.0
# - energy of formation (eV/atom) = -0.15

***

# RbHoAlSe4 PBE optimized geometry
data_RbHoAlSe4
_chemical_formula_sum 'Rb2 Ho2 Al2 Se8'
_cell_length_a 7.141
_cell_length_b 6.026
_cell_length_c 9.853
_cell_angle_alpha 90.00
_cell_angle_beta 106.24
_cell_angle_gamma 90.00
_symmetry_space_group_name_H-M 'P 1'
_symmetry_Int_Tables_number 1
_symmetry_space_group_name_Hall 'P 1'
loop_
_atom_site_label
_atom_site_type_symbol
_atom_site_fract_x
_atom_site_fract_y
_atom_site_fract_z
_atom_site_occupancy
Rb1 Rb 0.244 0.250 0.452 1
Rb2 Rb 0.756 0.750 0.548 1
Ho1 Ho 0.247 0.250 0.945 1
Ho2 Ho 0.753 0.750 0.055 1
Al1 Al 0.243 0.750 0.166 1
Al2 Al 0.757 0.250 0.834 1
Se1 Se 0.049 0.750 0.321 1
Se2 Se 0.074 0.750 0.923 1
Se3 Se 0.488 0.512 0.798 1
Se4 Se 0.488 0.988 0.798 1
Se5 Se 0.512 0.012 0.202 1
Se6 Se 0.512 0.488 0.202 1
Se7 Se 0.926 0.250 0.077 1
Se8 Se 0.951 0.250 0.679 1
# - volume (Å³/f.u.) = 203.5
# - raw formation energy (meV/atom) = -1263.0
# - total magnetization (μB per formula unit) = 0.00
# - E_tot (eV per atom) = -4.5810
# - ρ (g/cm³) = 4.840